A relaxed NaGdHg6 crystal. Source: OQMD via LeMat-Bulk, functional PBE.

Summary:
- Energy: -1.24 eV/atom
- Magnetization: 0.0 μB per formula unit

a b c (Å): 6.6646 6.6646 5.1201
angles (deg): 90.00 90.00 120.00
Space group P-6m2 (No. 187)
Asymmetric unit:
Na 0.0000 0.0000 0.0000 x1
Gd 0.6667 0.3333 0.5000 x1
Hg 0.0013 0.5006 0.0000 x3
Hg 0.1668 0.3336 0.5000 x3